(1)
DFT (PBE) results for a geometry-optimized Cs2KRb2CuSb2 structure.

Properties
As for the excess energy over the best structure of this formula in the dataset: 0.00 kcal/mol of atoms.

a = 10.3478 Å, b = 10.3478 Å, c = 10.3478 Å
α = 35.70°, β = 35.70°, γ = 35.70°
With the nearest neighbours (Å) after each atom.
Element x y z (fractional)
Cs 0.3610 0.3610 0.3610  3 Cu 3.75, 3 Cs 4.00, 1 K 4.04, 3 Sb 4.05
Cs 0.6390 0.6390 0.6390  3 Cu 3.75, 3 Cs 4.00, 1 K 4.04, 3 Sb 4.05
Cu 0.0000 0.0000 0.0000  2 Sb 2.54
K 0.5000 0.5000 0.5000  6 Rb 3.93, 2 Cs 4.04, 6 Sb 4.33
Rb 0.2153 0.2153 0.2153  4 Sb 3.71-3.77, 3 K 3.93
Rb 0.7847 0.7847 0.7847  4 Sb 3.71-3.77, 3 K 3.93
Sb 0.0875 0.0875 0.0875  1 Cu 2.54
Sb 0.9125 0.9125 0.9125  1 Cu 2.54



(2)
DFT (PBE) results for a geometry-optimized SrNbTl structure.

Properties
As for the excess energy over the best structure of this formula in the dataset: 0.00 kcal/mol of atoms.

a = 5.1409 Å, b = 5.1409 Å, c = 5.1409 Å
α = 60.00°, β = 60.00°, γ = 60.00°
With the nearest neighbours (Å) after each atom.
Element x y z (fractional)
Nb 0.2500 0.2500 0.2500  4 Tl 3.15
Sr 0.7500 0.7500 0.7500  4 Tl 3.15
Tl 0.0000 0.0000 0.0000  4 Nb 3.15, 4 Sr 3.15



(3)
DFT (PBE) results for a geometry-optimized YHoAg6 structure.

Properties
Its electronic total energy is -30.1 eV/cell.

a = 5.0076 Å, b = 6.1217 Å, c = 5.2081 Å
α = 90.00°, β = 90.00°, γ = 90.00°
With the nearest neighbours (Å) after each atom.
Element x y z (fractional)
Ag 0.5000 0.0000 0.1785  8 Ag 2.91-3.08, 2 Ho 3.04, 2 Y 3.06
Ag 0.0000 0.2525 0.3413  8 Ag 2.91-3.12, 2 Ho 3.01-3.05, 2 Y 3.08
Ag 0.0000 0.7475 0.3413  8 Ag 2.91-3.12, 2 Ho 3.01-3.05, 2 Y 3.08
Ag 0.5000 0.2428 0.6598  8 Ag 2.91-3.15, 2 Y 3.02-3.06, 2 Ho 3.07
Ag 0.5000 0.7572 0.6598  8 Ag 2.91-3.15, 2 Y 3.02-3.06, 2 Ho 3.07
Ag 0.0000 0.5000 0.8181  8 Ag 2.91-3.12, 2 Y 3.06, 2 Ho 3.06
Ho 0.0000 0.0000 0.8462  12 Ag 3.01-3.07
Y 0.5000 0.5000 0.1549  12 Ag 3.02-3.08



(4)
DFT (PBE) results for a geometry-optimized Ba3PaO6 structure.

Properties
Its electronic total energy is -143.2 eV/cell.

a = 7.4738 Å, b = 7.4738 Å, c = 7.4738 Å
α = 91.10°, β = 91.10°, γ = 91.10°
With the nearest neighbours (Å) after each atom.
Element x y z (fractional)
Ba 0.2512 0.5516 0.0537  6 O 2.62-2.82
Ba 0.5516 0.0537 0.2512  6 O 2.62-2.82
Ba 0.9463 0.7488 0.4484  6 O 2.62-2.82
Ba 0.0537 0.2512 0.5516  6 O 2.62-2.82
Ba 0.4484 0.9463 0.7488  6 O 2.62-2.82
Ba 0.7488 0.4484 0.9463  6 O 2.62-2.82
O 0.2782 0.9286 0.0606  1 Pa 2.20
O 0.9394 0.7218 0.0714  1 Pa 2.20
O 0.5385 0.4164 0.2211  1 Pa 2.19
O 0.9286 0.0606 0.2782  1 Pa 2.20
O 0.2211 0.5385 0.4164  1 Pa 2.19
O 0.5836 0.7789 0.4615  1 Pa 2.19
O 0.4164 0.2211 0.5385  1 Pa 2.19
O 0.7789 0.4615 0.5836  1 Pa 2.19
O 0.0714 0.9394 0.7218  1 Pa 2.20
O 0.4615 0.5836 0.7789  1 Pa 2.19
O 0.0606 0.2782 0.9286  1 Pa 2.20
O 0.7218 0.0714 0.9394  1 Pa 2.20
Pa 0.0000 0.0000 0.0000  6 O 2.20
Pa 0.5000 0.5000 0.5000  6 O 2.19



(5)
DFT (PBE) results for a geometry-optimized Zr2Ga2Pt structure.

Properties
Its electronic total energy is -30.0 eV/cell.

a = 7.2410 Å, b = 7.2410 Å, c = 7.2410 Å
α = 150.34°, β = 150.34°, γ = 42.44°
With the nearest neighbours (Å) after each atom.
Element x y z (fractional)
Ga 0.7500 0.2500 0.5000  4 Ga 2.62, 4 Zr 2.80
Ga 0.2500 0.7500 0.5000  4 Ga 2.62, 4 Zr 2.80
Pt 0.0000 0.0000 0.0000  8 Zr 2.92
Zr 0.4051 0.4051 0.0000  1 Zr 2.56, 4 Ga 2.80
Zr 0.5949 0.5949 0.0000  1 Zr 2.56, 4 Ga 2.80



(6)
DFT (PBE) results for a geometry-optimized TbYPd structure.

Properties
Its electronic total energy is -17.7 eV/cell.

a = 4.8866 Å, b = 4.8866 Å, c = 4.8866 Å
α = 60.00°, β = 60.00°, γ = 60.00°
With the nearest neighbours (Å) after each atom.
Element x y z (fractional)
Pd 0.0000 0.0000 0.0000  4 Y 2.99, 4 Tb 2.99
Tb 0.2500 0.2500 0.2500  4 Pd 2.99
Y 0.7500 0.7500 0.7500  4 Pd 2.99



(7)
DFT (PBE) results for a geometry-optimized ZnAg2Au2 structure.

Properties
As for the excess energy over the best structure of this formula in the dataset: 0.90 kcal/mol of atoms.

a = 7.2236 Å, b = 7.2236 Å, c = 7.2236 Å
α = 148.97°, β = 148.97°, γ = 44.46°
With the nearest neighbours (Å) after each atom.
Element x y z (fractional)
Ag 0.4037 0.4037 0.0000  1 Ag 2.58, 4 Au 2.82
Ag 0.5963 0.5963 0.0000  1 Ag 2.58, 4 Au 2.82
Au 0.7500 0.2500 0.5000  4 Au 2.73, 4 Ag 2.82
Au 0.2500 0.7500 0.5000  4 Au 2.73, 4 Ag 2.82
Zn 0.0000 0.0000 0.0000  8 Ag 3.02



(8)
DFT (PBE) results for a geometry-optimized ZrInCuIr structure.

Properties
As for the excess energy over the best structure of this formula in the dataset: 5.56 kcal/mol of atoms.

a = 4.6206 Å, b = 4.6206 Å, c = 4.6206 Å
α = 60.00°, β = 60.00°, γ = 60.00°
With the nearest neighbours (Å) after each atom.
Element x y z (fractional)
Cu 0.7500 0.7500 0.7500  4 Ir 2.83, 4 In 2.83
In 0.0000 0.0000 0.0000  4 Zr 2.83, 4 Cu 2.83
Ir 0.5000 0.5000 0.5000  4 Zr 2.83, 4 Cu 2.83
Zr 0.2500 0.2500 0.2500  4 Ir 2.83, 4 In 2.83



(9)
DFT (PBE) results for a geometry-optimized DyInPO structure.

Properties
As for the excess energy over the best structure of this formula in the dataset: 0.00 kcal/mol of atoms.

a = 4.3374 Å, b = 4.3374 Å, c = 8.2252 Å
α = 90.00°, β = 90.00°, γ = 90.00°
With the nearest neighbours (Å) after each atom.
Element x y z (fractional)
Dy 0.0000 0.5000 0.0989  4 O 2.32
Dy 0.5000 0.0000 0.9011  4 O 2.32
In 0.0000 0.0000 0.5000  4 P 2.69
In 0.5000 0.5000 0.5000  4 P 2.69
O 0.0000 0.0000 0.0000  4 Dy 2.32
O 0.5000 0.5000 0.0000  4 Dy 2.32
P 0.5000 0.0000 0.3067  4 In 2.69
P 0.0000 0.5000 0.6933  4 In 2.69



(10)
DFT (PBE) results for a geometry-optimized Hf2Al2Cu2NiPt structure.

Properties
Its electronic total energy is -51.4 eV/cell.

a = 4.3982 Å, b = 4.3982 Å, c = 6.2574 Å
α = 90.00°, β = 90.00°, γ = 90.00°
With the nearest neighbours (Å) after each atom.
Element x y z (fractional)
Al 0.0000 0.5000 0.2556  2 Ni 2.68, 4 Cu 2.68-2.72, 2 Pt 2.72
Al 0.5000 0.0000 0.7444  2 Ni 2.68, 4 Cu 2.68-2.72, 2 Pt 2.72
Cu 0.5000 0.5000 0.0000  4 Al 2.72, 4 Hf 2.74
Cu 0.0000 0.0000 0.5000  4 Hf 2.66, 4 Al 2.68
Hf 0.5000 0.0000 0.2617  2 Ni 2.66, 4 Cu 2.66-2.74, 2 Pt 2.74
Hf 0.0000 0.5000 0.7383  2 Ni 2.66, 4 Cu 2.66-2.74, 2 Pt 2.74
Ni 0.5000 0.5000 0.5000  4 Hf 2.66, 4 Al 2.68
Pt 0.0000 0.0000 0.0000  4 Al 2.72, 4 Hf 2.74



(11)
DFT (PBE) results for a geometry-optimized Zr3In3PdPt2 structure.

Properties
Its electronic total energy is -57.9 eV/cell.

a = 7.5730 Å, b = 7.5730 Å, c = 3.5925 Å
α = 90.00°, β = 90.00°, γ = 120.00°
With the nearest neighbours (Å) after each atom.
Element x y z (fractional)
In 0.7321 0.0000 0.5000  2 Pd 2.71, 2 Pt 2.80
In 0.2679 0.2679 0.5000  2 Pd 2.71, 2 Pt 2.80
In 0.0000 0.7321 0.5000  2 Pd 2.71, 2 Pt 2.80
Pd 0.0000 0.0000 0.0000  6 In 2.71, 3 Zr 3.02
Pt 0.6667 0.3333 0.5000  3 In 2.80, 6 Zr 2.93
Pt 0.3333 0.6667 0.5000  3 In 2.80, 6 Zr 2.93
Zr 0.3994 0.0000 0.0000  4 Pt 2.93, 1 Pd 3.02, 6 In 3.09-3.22
Zr 0.0000 0.3994 0.0000  4 Pt 2.93, 1 Pd 3.02, 6 In 3.09-3.22
Zr 0.6006 0.6006 0.0000  4 Pt 2.93, 1 Pd 3.02, 6 In 3.09-3.22



(12)
DFT (PBE) results for a geometry-optimized LiSm2AgP2 structure.

Properties
Its electronic total energy is -30.2 eV/cell.

a = 4.2154 Å, b = 4.2154 Å, c = 7.7665 Å
α = 90.00°, β = 90.00°, γ = 120.00°
With the nearest neighbours (Å) after each atom.
Element x y z (fractional)
Ag 0.0000 0.0000 0.5000  3 P 2.43
Li 0.6667 0.3333 0.0000  3 P 2.43
P 0.0000 0.0000 0.0000  3 Li 2.43
P 0.6667 0.3333 0.5000  3 Ag 2.43
Sm 0.3333 0.6667 0.2446  6 P 3.09-3.14, 3 Li 3.09, 3 Ag 3.14
Sm 0.3333 0.6667 0.7554  6 P 3.09-3.14, 3 Li 3.09, 3 Ag 3.14